A plane-wave DFT calculation with PBE was carried out for a relaxed structure of Rb2In2I.

Summary:
The calculation puts the relative energy among the computed polymorphs at 1.77 eV per formula unit. For the magnetic moment, the calculation gives 0.0 μB/f.u. Its space-group type is No. 127. The value obtained for the density of states at the Fermi level is 1.2505 states/eV per atom. The value obtained for the uncorrected formation energy is -0.2193 eV per atom. The value obtained for the total energy is -2.01 eV per atom.

POSCAR file:
```
Rb2In2I
1.0
9.547 0.000 0.000
0.000 9.547 0.000
0.000 0.000 5.108
Rb In I
4 4 2
Direct
0.194 0.306 0.000
0.306 0.806 0.000
0.694 0.194 0.000
0.806 0.694 0.000
0.108 0.608 0.500
0.392 0.108 0.500
0.608 0.892 0.500
0.892 0.392 0.500
0.000 0.000 0.500
0.500 0.500 0.500
```

A plane-wave DFT calculation with PBE was carried out for a relaxed structure of FeNiAu2.

Summary:
The calculation puts the relative energy among the computed polymorphs at 0.63 eV per formula unit. For the magnetic moment, the calculation gives 2.8 μB/f.u. Its space-group type is No. 166. The value obtained for the density of states at the Fermi level is 0.8628 states/eV per atom. The value obtained for the total energy is -4.98 eV per atom. Its energy of formation from the pure elements is 0.222 eV/atom.

POSCAR file:
```
FeNiAu2
1.0
1.406 0.812 8.791
-1.406 0.812 8.791
0.000 -1.623 8.791
Fe Ni Au
1 1 2
Direct
0.000 0.000 0.000
0.500 0.500 0.500
0.249 0.249 0.249
0.751 0.751 0.751
```

A plane-wave DFT calculation with PBE was carried out for a relaxed structure of MgGaSe2Br.

Summary:
The calculation puts the relative energy among the computed polymorphs at 0.37 eV per formula unit. For the magnetic moment, the calculation gives 0.0 μB/f.u. Its space-group type is No. 123. The value obtained for the density of states at the Fermi level is 0.2757 states/eV per atom. The value obtained for the uncorrected formation energy is -0.1733 eV per atom. The value obtained for the total energy is -2.83 eV per atom.

POSCAR file:
```
MgGaSe2Br
1.0
5.010 0.000 0.000
0.000 5.010 0.000
0.000 0.000 5.154
Mg Ga Se Br
1 1 2 1
Direct
0.000 0.000 0.000
0.500 0.500 0.500
0.000 0.500 0.500
0.500 0.000 0.500
0.500 0.500 0.000
```

A plane-wave DFT calculation with PBE was carried out for a relaxed structure of ReOs.

Summary:
The calculation puts the relative energy among the computed polymorphs at 1.45 eV per formula unit. For the magnetic moment, the calculation gives 0.0 μB/f.u. Its space-group type is No. 221. The value obtained for the density of states at the Fermi level is 0.9608 states/eV per atom. The value obtained for the total energy is -11.21 eV per atom. Its energy of formation from the pure elements is 0.631 eV/atom.

POSCAR file:
```
ReOs
1.0
3.105 0.000 0.000
0.000 3.105 0.000
0.000 0.000 3.105
Re Os
1 1
Direct
0.000 0.000 0.000
0.500 0.500 0.500
```